# Li7Co5O12 | the Alexandria database | PBE+U | optimized geometry
# Crystal system   monoclinic
# E_tot   -5.503 eV per atom
# Magnetic moment   2.0 μB/f.u.
data_Li7Co5O12
_space_group_name_H-M_alt 'C 1 2/m 1'
_space_group_IT_number 12
_cell_length_a 9.6609
_cell_length_b 2.8886
_cell_length_c 14.8413
_cell_angle_alpha 90.00
_cell_angle_beta 100.89
_cell_angle_gamma 90.00
loop_
_space_group_symop_operation_xyz
'x,y,z'
'-x,-y,-z'
'-x,y,-z'
'x,-y,z'
'x+1/2,y+1/2,z'
'-x+1/2,-y+1/2,-z'
'-x+1/2,y+1/2,-z'
'x+1/2,-y+1/2,z'
loop_
_atom_site_label
_atom_site_fract_x
_atom_site_fract_y
_atom_site_fract_z
Li1 0.0000 0.0000 0.0000
Li2 0.2466 0.0000 0.2498
Li3 0.2476 0.5000 0.0752
Li4 0.2490 0.0000 0.5847
Co1 0.9999 0.5000 0.1629
Co2 0.0000 0.5000 0.5000
Co3 0.0009 0.0000 0.6670
O1 0.1045 0.0000 0.7899
O2 0.1057 0.0000 0.4564
O3 0.1082 0.0000 0.1304
O4 0.1121 0.5000 0.2874
O5 0.1166 0.5000 0.6218
O6 0.1194 0.5000 0.9454